1.
## NdGa3Pt3 (GGA-PBE)

Data for NdGa3Pt3 after structural relaxation.

Cell lengths 7.580, 7.580, 7.580 Å; angles 54.06, 54.06, 54.06 degrees
Positions (direct):
Nd (0.160, 0.160, 0.160)
Nd (0.840, 0.840, 0.840)
Ga (0.042, 0.229, 0.598)
Ga (0.229, 0.598, 0.042)
Ga (0.402, 0.958, 0.771)
Ga (0.598, 0.042, 0.229)
Ga (0.771, 0.402, 0.958)
Ga (0.958, 0.771, 0.402)
Pt (0.187, 0.412, 0.665)
Pt (0.335, 0.813, 0.588)
Pt (0.412, 0.665, 0.187)
Pt (0.588, 0.335, 0.813)
Pt (0.665, 0.187, 0.412)
Pt (0.813, 0.588, 0.335)

## Properties
energy above the lowest structure with this stoichiometry: 0.0000 eV/atom
SG: R-3
formation enthalpy at 0 K: -0.762 eV per atom



2.
## KLa2Pb (GGA-PBE)

Data for KLa2Pb after structural relaxation.

Cell lengths 6.110, 6.110, 6.110 Å; angles 128.08, 128.08, 76.50 degrees
Positions (direct):
K (0.000, 0.000, 0.000)
La (0.250, 0.750, 0.500)
La (0.750, 0.250, 0.500)
Pb (0.500, 0.500, 0.000)

## Properties
SG: I4/mmm
formation enthalpy at 0 K: -0.027 eV per atom



3.
## BaSr2Mg (GGA-PBE)

Data for BaSr2Mg after structural relaxation.

Cell lengths 7.774, 7.774, 6.564 Å; angles 114.91, 114.91, 32.94 degrees
Positions (direct):
Ba (0.000, 0.000, 0.000)
Sr (0.211, 0.211, 0.711)
Sr (0.789, 0.789, 0.289)
Mg (0.500, 0.500, 0.500)

## Properties
SG: C2/m
formation enthalpy at 0 K: 0.006 eV per atom



4.
## TlFe2I (GGA-PBE)

Data for TlFe2I after structural relaxation.

Cell lengths 6.176, 6.176, 6.176 Å; angles 106.73, 106.73, 115.11 degrees
Positions (direct):
Tl (0.000, 0.000, 0.000)
Tl (0.750, 0.250, 0.500)
Fe (0.139, 0.625, 0.014)
Fe (0.375, 0.389, 0.514)
Fe (0.611, 0.125, 0.986)
Fe (0.875, 0.861, 0.486)
I (0.250, 0.750, 0.500)
I (0.500, 0.500, 0.000)

## Properties
energy above the lowest structure with this stoichiometry: 0.0000 eV/atom
SG: I-42d
formation energy (no corrections): 914 meV per atom



E values, unit eV per atom, following the record order: -5.33, -3.69, -1.71, -4.30.